! PBE AcH2Pd, optimized geometry; values from VASP
&SYSTEM
  ibrav = 0, nat = 4, ntyp = 3
/
ATOMIC_SPECIES
Ac 227.00 Ac.upf
H 1.01 H.upf
Pd 106.42 Pd.upf
CELL_PARAMETERS angstrom
2.200 1.270 3.659
-2.200 1.270 3.659
0.000 -2.541 3.659
ATOMIC_POSITIONS crystal
Ac 0.000 0.000 0.000
H 0.246 0.246 0.246
H 0.754 0.754 0.754
Pd 0.500 0.500 0.500
! Mass density (g/cm³): 9.08
! Spin magnetization (μB per formula unit): 0.00
! Density of states at the Fermi level (states/eV/atom): 0.285
! Total energy (eV for the cell shown): -17.3



! PBE AcH2Pd2, optimized geometry; values from VASP
&SYSTEM
  ibrav = 0, nat = 10, ntyp = 3
/
ATOMIC_SPECIES
Ac 227.00 Ac.upf
H 1.01 H.upf
Pd 106.42 Pd.upf
CELL_PARAMETERS angstrom
5.246 0.000 0.000
1.926 5.669 0.000
2.511 0.698 5.542
ATOMIC_POSITIONS crystal
Ac 0.247 0.255 0.255
Ac 0.753 0.745 0.745
H 0.236 0.646 0.378
H 0.249 0.072 0.899
H 0.751 0.928 0.101
H 0.764 0.354 0.622
Pd 0.083 0.822 0.164
Pd 0.426 0.312 0.690
Pd 0.574 0.688 0.310
Pd 0.917 0.178 0.836
! Mass density (g/cm³): 8.90
! Spin magnetization (μB per formula unit): 0.00
! Density of states at the Fermi level (states/eV/atom): 0.359
! Total energy (eV for the cell shown): -47.7



! PBE AcHPd4, optimized geometry; values from VASP
&SYSTEM
  ibrav = 0, nat = 12, ntyp = 3
/
ATOMIC_SPECIES
Ac 227.00 Ac.upf
H 1.01 H.upf
Pd 106.42 Pd.upf
CELL_PARAMETERS angstrom
4.718 -3.065 0.000
4.718 3.065 0.000
-3.190 0.000 7.057
ATOMIC_POSITIONS crystal
Ac 0.203 0.203 0.296
Ac 0.797 0.797 0.704
H 0.465 0.465 0.749
H 0.535 0.535 0.251
Pd 0.178 0.645 0.115
Pd 0.223 0.777 0.500
Pd 0.281 0.281 0.768
Pd 0.355 0.822 0.885
Pd 0.645 0.178 0.115
Pd 0.719 0.719 0.232
Pd 0.777 0.223 0.500
Pd 0.822 0.355 0.885
! Mass density (g/cm³): 10.64
! Spin magnetization (μB per formula unit): 0.00
! Density of states at the Fermi level (states/eV/atom): 0.280
! Total energy (eV for the cell shown): -62.4



! PBE AcH4Pd, optimized geometry; values from VASP
&SYSTEM
  ibrav = 0, nat = 6, ntyp = 3
/
ATOMIC_SPECIES
Ac 227.00 Ac.upf
H 1.01 H.upf
Pd 106.42 Pd.upf
CELL_PARAMETERS angstrom
-2.173 2.416 3.490
2.173 -2.416 3.490
2.173 2.416 -3.490
ATOMIC_POSITIONS crystal
Ac 0.000 0.000 0.000
H 0.076 0.335 0.741
H 0.406 0.665 0.741
H 0.594 0.335 0.259
H 0.924 0.665 0.259
Pd 0.500 0.500 0.000
! Mass density (g/cm³): 7.65
! Spin magnetization (μB per formula unit): 0.00
! Density of states at the Fermi level (states/eV/atom): 0.336
! Total energy (eV for the cell shown): -25.4



! PBE AcH11Pd5, optimized geometry; values from VASP
&SYSTEM
  ibrav = 0, nat = 17, ntyp = 3
/
ATOMIC_SPECIES
Ac 227.00 Ac.upf
H 1.01 H.upf
Pd 106.42 Pd.upf
CELL_PARAMETERS angstrom
4.551 -4.109 0.000
4.551 4.109 0.000
-3.027 0.000 4.343
ATOMIC_POSITIONS crystal
Ac 0.000 0.000 0.000
H 0.157 0.620 0.116
H 0.171 0.437 0.486
H 0.253 0.253 0.915
H 0.415 0.809 0.877
H 0.437 0.171 0.486
H 0.560 0.843 0.518
H 0.620 0.157 0.116
H 0.649 0.649 0.156
H 0.809 0.415 0.877
H 0.843 0.560 0.518
H 0.960 0.960 0.456
Pd 0.024 0.398 0.723
Pd 0.398 0.024 0.723
Pd 0.493 0.493 0.745
Pd 0.621 0.978 0.307
Pd 0.978 0.621 0.307
! Mass density (g/cm³): 7.87
! Spin magnetization (μB per formula unit): 0.00
! Density of states at the Fermi level (states/eV/atom): 0.120
! Total energy (eV for the cell shown): -69.9



! PBE AcH6Pd2, optimized geometry; values from VASP
&SYSTEM
  ibrav = 0, nat = 9, ntyp = 3
/
ATOMIC_SPECIES
Ac 227.00 Ac.upf
H 1.01 H.upf
Pd 106.42 Pd.upf
CELL_PARAMETERS angstrom
4.510 -2.042 0.000
4.510 2.042 0.000
-3.373 0.000 5.684
ATOMIC_POSITIONS crystal
Ac 0.000 0.000 0.000
H 0.017 0.017 0.650
H 0.300 0.300 0.441
H 0.310 0.310 0.908
H 0.690 0.690 0.092
H 0.700 0.700 0.559
H 0.983 0.983 0.350
Pd 0.188 0.188 0.602
Pd 0.812 0.812 0.398
! Mass density (g/cm³): 7.07
! Spin magnetization (μB per formula unit): 0.00
! Density of states at the Fermi level (states/eV/atom): 0.014
! Total energy (eV for the cell shown): -37.2



! PBE AcHPd2, optimized geometry; values from VASP
&SYSTEM
  ibrav = 0, nat = 4, ntyp = 3
/
ATOMIC_SPECIES
Ac 227.00 Ac.upf
H 1.01 H.upf
Pd 106.42 Pd.upf
CELL_PARAMETERS angstrom
2.044 1.180 5.249
-2.044 1.180 5.249
0.000 -2.361 5.249
ATOMIC_POSITIONS crystal
Ac 0.000 0.000 0.000
H 0.500 0.500 0.500
Pd 0.210 0.210 0.210
Pd 0.790 0.790 0.790
! Mass density (g/cm³): 9.63
! Spin magnetization (μB per formula unit): 0.00
! Density of states at the Fermi level (states/eV/atom): 0.312
! Total energy (eV for the cell shown): -18.8



! PBE Ac12H5Pd3, optimized geometry; values from VASP
&SYSTEM
  ibrav = 0, nat = 80, ntyp = 3
/
ATOMIC_SPECIES
Ac 227.00 Ac.upf
H 1.01 H.upf
Pd 106.42 Pd.upf
CELL_PARAMETERS angstrom
-8.389 8.389 8.389
8.389 -8.389 8.389
8.389 8.389 -8.389
ATOMIC_POSITIONS crystal
Ac 0.026 0.215 0.118
Ac 0.026 0.310 0.908
Ac 0.092 0.618 0.402
Ac 0.092 0.974 0.690
Ac 0.098 0.715 0.690
Ac 0.098 0.882 0.408
Ac 0.118 0.026 0.215
Ac 0.118 0.592 0.902
Ac 0.190 0.215 0.598
Ac 0.190 0.474 0.592
Ac 0.215 0.118 0.026
Ac 0.215 0.598 0.190
Ac 0.285 0.310 0.902
Ac 0.285 0.474 0.382
Ac 0.310 0.902 0.285
Ac 0.310 0.908 0.026
Ac 0.382 0.285 0.474
Ac 0.382 0.598 0.908
Ac 0.402 0.092 0.618
Ac 0.402 0.810 0.785
Ac 0.408 0.098 0.882
Ac 0.408 0.810 0.526
Ac 0.474 0.382 0.285
Ac 0.474 0.592 0.190
Ac 0.526 0.408 0.810
Ac 0.526 0.618 0.715
Ac 0.592 0.190 0.474
Ac 0.592 0.902 0.118
Ac 0.598 0.190 0.215
Ac 0.598 0.908 0.382
Ac 0.618 0.402 0.092
Ac 0.618 0.715 0.526
Ac 0.690 0.092 0.974
Ac 0.690 0.098 0.715
Ac 0.715 0.526 0.618
Ac 0.715 0.690 0.098
Ac 0.785 0.402 0.810
Ac 0.785 0.882 0.974
Ac 0.810 0.526 0.408
Ac 0.810 0.785 0.402
Ac 0.882 0.408 0.098
Ac 0.882 0.974 0.785
Ac 0.902 0.118 0.592
Ac 0.902 0.285 0.310
Ac 0.908 0.026 0.310
Ac 0.908 0.382 0.598
Ac 0.974 0.690 0.092
Ac 0.974 0.785 0.882
H 0.000 0.000 0.000
H 0.000 0.000 0.500
H 0.000 0.500 0.000
H 0.000 0.500 0.500
H 0.125 0.750 0.875
H 0.125 0.875 0.250
H 0.250 0.125 0.875
H 0.250 0.625 0.375
H 0.375 0.250 0.625
H 0.375 0.625 0.750
H 0.500 0.000 0.000
H 0.500 0.000 0.500
H 0.500 0.500 0.000
H 0.500 0.500 0.500
H 0.625 0.375 0.250
H 0.625 0.750 0.375
H 0.750 0.375 0.625
H 0.750 0.875 0.125
H 0.875 0.125 0.750
H 0.875 0.250 0.125
Pd 0.125 0.250 0.375
Pd 0.125 0.375 0.750
Pd 0.250 0.375 0.125
Pd 0.250 0.875 0.625
Pd 0.375 0.125 0.250
Pd 0.375 0.750 0.125
Pd 0.625 0.250 0.875
Pd 0.625 0.875 0.750
Pd 0.750 0.125 0.375
Pd 0.750 0.625 0.875
Pd 0.875 0.625 0.250
Pd 0.875 0.750 0.625
! Mass density (g/cm³): 8.57
! Spin magnetization (μB per formula unit): 0.00
! Density of states at the Fermi level (states/eV/atom): 1.008
! Total energy (eV for the cell shown): -352.8



- mass density of number 1 (AcH2Pd)?
  9.08 g/cm³